[1]
# GGA-PBE ScAsPb2, optimized geometry
data_ScAsPb2
_chemical_formula_sum 'Sc1 As1 Pb2'
_cell_length_a 4.1172
_cell_length_b 4.8209
_cell_length_c 5.0568
_cell_angle_alpha 90.00
_cell_angle_beta 90.00
_cell_angle_gamma 90.00
_space_group_name_H-M_alt 'P m m m'
_space_group_IT_number 47
_space_group_name_Hall '-P 2 2'
loop_
_atom_site_label
_atom_site_type_symbol
_atom_site_fract_x
_atom_site_fract_y
_atom_site_fract_z
_atom_site_occupancy
Sc1 Sc 0.0000 0.0000 0.0000 1
As1 As 0.5000 0.5000 0.0000 1
Pb1 Pb 0.0000 0.5000 0.5000 1
Pb2 Pb 0.5000 0.0000 0.5000 1
# Crystal system: orthorhombic
# E: -4.7560 eV/atom

---

[2]
# GGA-PBE TmGa2Ru, optimized geometry
data_TmGa2Ru
_chemical_formula_sum 'Tm3 Ga6 Ru3'
_cell_length_a 4.2237
_cell_length_b 4.2237
_cell_length_c 14.4153
_cell_angle_alpha 90.00
_cell_angle_beta 90.00
_cell_angle_gamma 120.00
_space_group_name_H-M_alt 'R -3 m'
_space_group_IT_number 166
_space_group_name_Hall '-R 3 2"'
loop_
_atom_site_label
_atom_site_type_symbol
_atom_site_fract_x
_atom_site_fract_y
_atom_site_fract_z
_atom_site_occupancy
Tm1 Tm 0.0000 0.0000 0.0000 1
Ga1 Ga 0.0000 0.0000 0.2182 1
Ru1 Ru 0.0000 0.0000 0.5000 1
# Crystal system: trigonal
# E: -5.4374 eV/atom

---

[3]
# GGA-PBE MgGa2Pt2, optimized geometry
data_MgGa2Pt2
_chemical_formula_sum 'Mg2 Ga4 Pt4'
_cell_length_a 3.7938
_cell_length_b 3.7938
_cell_length_c 12.2507
_cell_angle_alpha 90.00
_cell_angle_beta 90.00
_cell_angle_gamma 90.00
_space_group_name_H-M_alt 'I 4/m m m'
_space_group_IT_number 139
_space_group_name_Hall '-I 4 2'
loop_
_atom_site_label
_atom_site_type_symbol
_atom_site_fract_x
_atom_site_fract_y
_atom_site_fract_z
_atom_site_occupancy
Mg1 Mg 0.0000 0.0000 0.0000 1
Ga1 Ga 0.0000 0.5000 0.2500 1
Pt1 Pt 0.0000 0.0000 0.3911 1
# Energy relative to the lowest polymorph listed for this composition: 66 meV per atom
# Crystal system: tetragonal

---

[4]
# GGA-PBE Pr3DyY6, optimized geometry
data_Pr3DyY6
_chemical_formula_sum 'Pr9 Dy3 Y18'
_cell_length_a 9.9894
_cell_length_b 9.9894
_cell_length_c 11.7502
_cell_angle_alpha 90.00
_cell_angle_beta 90.00
_cell_angle_gamma 120.00
_space_group_name_H-M_alt 'R 3'
_space_group_IT_number 146
_space_group_name_Hall 'R 3'
loop_
_atom_site_label
_atom_site_type_symbol
_atom_site_fract_x
_atom_site_fract_y
_atom_site_fract_z
_atom_site_occupancy
Pr1 Pr 0.0000 0.0000 0.0000 1
Pr2 Pr 0.0000 0.0000 0.2510 1
Pr3 Pr 0.0000 0.0000 0.5015 1
Dy1 Dy 0.0000 0.0000 0.7509 1
Y1 Y 0.0031 0.3281 0.4998 1
Y2 Y 0.0084 0.6700 0.6667 1
# Energy relative to the lowest polymorph listed for this composition: 118 meV per atom
# Crystal system: trigonal

---

[5]
# GGA-PBE Ti2Cr2Sb, optimized geometry
data_Ti2Cr2Sb
_chemical_formula_sum 'Ti4 Cr4 Sb2'
_cell_length_a 6.9781
_cell_length_b 6.9781
_cell_length_c 3.2615
_cell_angle_alpha 90.00
_cell_angle_beta 90.00
_cell_angle_gamma 90.00
_space_group_name_H-M_alt 'P 4/m b m'
_space_group_IT_number 127
_space_group_name_Hall '-P 4 2ab'
loop_
_atom_site_label
_atom_site_type_symbol
_atom_site_fract_x
_atom_site_fract_y
_atom_site_fract_z
_atom_site_occupancy
Ti1 Ti 0.1876 0.3124 0.0000 1
Cr1 Cr 0.1020 0.6020 0.5000 1
Sb1 Sb 0.0000 0.0000 0.5000 1
# Formation energy without anion corrections: 6 meV per atom
# Crystal system: tetragonal

---

[6]
# GGA-PBE Cs2AgHg2, optimized geometry
data_Cs2AgHg2
_chemical_formula_sum 'Cs8 Ag4 Hg8'
_cell_length_a 8.9300
_cell_length_b 12.8945
_cell_length_c 8.2420
_cell_angle_alpha 90.00
_cell_angle_beta 105.47
_cell_angle_gamma 90.00
_space_group_name_H-M_alt 'C 1 2/m 1'
_space_group_IT_number 12
_space_group_name_Hall '-C 2y'
loop_
_atom_site_label
_atom_site_type_symbol
_atom_site_fract_x
_atom_site_fract_y
_atom_site_fract_z
_atom_site_occupancy
Cs1 Cs 0.2036 0.1702 0.2549 1
Ag1 Ag 0.0000 0.3909 0.0000 1
Hg1 Hg 0.0821 0.5000 0.3493 1
Hg2 Hg 0.1842 0.0000 0.8548 1
# Energy relative to the lowest polymorph listed for this composition: 46 meV per atom
# Crystal system: monoclinic

---

[7]
# GGA-PBE HfMgAgBr2, optimized geometry
data_HfMgAgBr2
_chemical_formula_sum 'Hf1 Mg1 Ag1 Br2'
_cell_length_a 5.2818
_cell_length_b 5.2818
_cell_length_c 5.5664
_cell_angle_alpha 90.00
_cell_angle_beta 90.00
_cell_angle_gamma 90.00
_space_group_name_H-M_alt 'P 4/m m m'
_space_group_IT_number 123
_space_group_name_Hall '-P 4 2'
loop_
_atom_site_label
_atom_site_type_symbol
_atom_site_fract_x
_atom_site_fract_y
_atom_site_fract_z
_atom_site_occupancy
Hf1 Hf 0.0000 0.0000 0.0000 1
Mg1 Mg 0.5000 0.5000 0.0000 1
Ag1 Ag 0.0000 0.0000 0.5000 1
Br1 Br 0.0000 0.5000 0.5000 1
# Formation energy without anion corrections: 568 meV per atom
# Crystal system: tetragonal

---

[8]
# GGA-PBE YAlSi, optimized geometry
data_YAlSi
_chemical_formula_sum 'Y1 Al1 Si1'
_cell_length_a 3.1594
_cell_length_b 3.1594
_cell_length_c 6.6944
_cell_angle_alpha 90.00
_cell_angle_beta 90.00
_cell_angle_gamma 90.00
_space_group_name_H-M_alt 'P 4 m m'
_space_group_IT_number 99
_space_group_name_Hall 'P 4 -2'
loop_
_atom_site_label
_atom_site_type_symbol
_atom_site_fract_x
_atom_site_fract_y
_atom_site_fract_z
_atom_site_occupancy
Y1 Y 0.0000 0.0000 0.0000 1
Al1 Al 0.5000 0.5000 0.3395 1
Si1 Si 0.5000 0.5000 0.7084 1
# Formation energy without anion corrections: -91 meV per atom
# Crystal system: tetragonal

---

[9]
# GGA-PBE OsPb2, optimized geometry
data_OsPb2
_chemical_formula_sum 'Os1 Pb2'
_cell_length_a 3.3581
_cell_length_b 3.3581
_cell_length_c 7.3841
_cell_angle_alpha 90.00
_cell_angle_beta 90.00
_cell_angle_gamma 120.00
_space_group_name_H-M_alt 'P -3 m 1'
_space_group_IT_number 164
_space_group_name_Hall '-P 3 2"'
loop_
_atom_site_label
_atom_site_type_symbol
_atom_site_fract_x
_atom_site_fract_y
_atom_site_fract_z
_atom_site_occupancy
Os1 Os 0.0000 0.0000 0.0000 1
Pb1 Pb 0.3333 0.6667 0.2829 1
# Crystal system: trigonal
# E: -5.5123 eV/atom

---

[10]
# GGA-PBE HoCo2GeP, optimized geometry
data_HoCo2GeP
_chemical_formula_sum 'Ho4 Co8 Ge4 P4'
_cell_length_a 3.9796
_cell_length_b 11.4533
_cell_length_c 6.9368
_cell_angle_alpha 90.00
_cell_angle_beta 90.00
_cell_angle_gamma 90.00
_space_group_name_H-M_alt 'C m c m'
_space_group_IT_number 63
_space_group_name_Hall '-C 2c 2'
loop_
_atom_site_label
_atom_site_type_symbol
_atom_site_fract_x
_atom_site_fract_y
_atom_site_fract_z
_atom_site_occupancy
Ho1 Ho 0.0000 0.0687 0.2500 1
Co1 Co 0.0000 0.3202 0.0622 1
Ge1 Ge 0.0000 0.2235 0.7500 1
P1 P 0.0000 0.5000 0.0000 1
# Crystal system: orthorhombic
# E: -6.4033 eV/atom

---

[11]
# GGA-PBE HgIF, optimized geometry
data_HgIF
_chemical_formula_sum 'Hg4 I4 F4'
_cell_length_a 7.5842
_cell_length_b 4.3806
_cell_length_c 10.4254
_cell_angle_alpha 90.00
_cell_angle_beta 104.17
_cell_angle_gamma 90.00
_space_group_name_H-M_alt 'C 1 2/m 1'
_space_group_IT_number 12
_space_group_name_Hall '-C 2y'
loop_
_atom_site_label
_atom_site_type_symbol
_atom_site_fract_x
_atom_site_fract_y
_atom_site_fract_z
_atom_site_occupancy
Hg1 Hg 0.1143 0.0000 0.3459 1
I1 I 0.1045 0.5000 0.8084 1
F1 F 0.1901 0.0000 0.5690 1
# Energy relative to the lowest polymorph listed for this composition: 30 meV per atom
# Formation energy without anion corrections: -856 meV per atom
# Crystal system: monoclinic

---

[12]
# GGA-PBE YIn2Co, optimized geometry
data_YIn2Co
_chemical_formula_sum 'Y2 In4 Co2'
_cell_length_a 3.1888
_cell_length_b 4.3677
_cell_length_c 12.7851
_cell_angle_alpha 90.00
_cell_angle_beta 90.00
_cell_angle_gamma 90.00
_space_group_name_H-M_alt 'I m m 2'
_space_group_IT_number 44
_space_group_name_Hall 'I 2 -2'
loop_
_atom_site_label
_atom_site_type_symbol
_atom_site_fract_x
_atom_site_fract_y
_atom_site_fract_z
_atom_site_occupancy
Y1 Y 0.0000 0.0000 0.0000 1
In1 In 0.0000 0.0000 0.3567 1
In2 In 0.0000 0.5000 0.1912 1
Co1 Co 0.0000 0.5000 0.6773 1
# Crystal system: orthorhombic
# E: -4.8320 eV/atom

---

[13]
# GGA-PBE Sc3Zn2Cu2, optimized geometry
data_Sc3Zn2Cu2
_chemical_formula_sum 'Sc3 Zn2 Cu2'
_cell_length_a 4.5661
_cell_length_b 4.5709
_cell_length_c 7.9724
_cell_angle_alpha 74.06
_cell_angle_beta 73.94
_cell_angle_gamma 60.28
_space_group_name_H-M_alt 'P -1'
_space_group_IT_number 2
_space_group_name_Hall '-P 1'
loop_
_atom_site_label
_atom_site_type_symbol
_atom_site_fract_x
_atom_site_fract_y
_atom_site_fract_z
_atom_site_occupancy
Sc1 Sc 0.0000 0.0000 0.0000 1
Sc2 Sc 0.2391 0.2401 0.2858 1
Zn1 Zn 0.3765 0.3761 0.8692 1
Cu1 Cu 0.1156 0.1148 0.6501 1
# Crystal system: triclinic
# E: -4.3289 eV/atom

---

[14]
# GGA-PBE AgRhSe2, optimized geometry
data_AgRhSe2
_chemical_formula_sum 'Ag2 Rh2 Se4'
_cell_length_a 7.3819
_cell_length_b 3.7493
_cell_length_c 6.5117
_cell_angle_alpha 90.00
_cell_angle_beta 100.16
_cell_angle_gamma 90.00
_space_group_name_H-M_alt 'P 1 c 1'
_space_group_IT_number 7
_space_group_name_Hall 'P -2yc'
loop_
_atom_site_label
_atom_site_type_symbol
_atom_site_fract_x
_atom_site_fract_y
_atom_site_fract_z
_atom_site_occupancy
Ag1 Ag 0.0000 0.0000 0.0000 1
Rh1 Rh 0.5002 0.2463 0.2508 1
Se1 Se 0.3261 0.2445 0.5477 1
Se2 Se 0.6742 0.2446 0.9538 1
# Formation energy without anion corrections: -263 meV per atom
# Crystal system: monoclinic

---

[15]
# GGA-PBE CsKSnCl6, optimized geometry
data_CsKSnCl6
_chemical_formula_sum 'Cs1 K1 Sn1 Cl6'
_cell_length_a 7.6022
_cell_length_b 7.6022
_cell_length_c 7.1410
_cell_angle_alpha 90.00
_cell_angle_beta 90.00
_cell_angle_gamma 120.00
_space_group_name_H-M_alt 'P 3 1 2'
_space_group_IT_number 149
_space_group_name_Hall 'P 3 2'
loop_
_atom_site_label
_atom_site_type_symbol
_atom_site_fract_x
_atom_site_fract_y
_atom_site_fract_z
_atom_site_occupancy
Cs1 Cs 0.0000 0.0000 0.0000 1
K1 K 0.6667 0.3333 0.5000 1
Sn1 Sn 0.3333 0.6667 0.5000 1
Cl1 Cl 0.0649 0.4032 0.2985 1
# Formation energy without anion corrections: -1452 meV per atom
# Crystal system: trigonal

---

[16]
# GGA-PBE DyTiZnCo, optimized geometry
data_DyTiZnCo
_chemical_formula_sum 'Dy4 Ti4 Zn4 Co4'
_cell_length_a 6.5444
_cell_length_b 6.5444
_cell_length_c 6.5444
_cell_angle_alpha 90.00
_cell_angle_beta 90.00
_cell_angle_gamma 90.00
_space_group_name_H-M_alt 'F -4 3 m'
_space_group_IT_number 216
_space_group_name_Hall 'F -4 2 3'
loop_
_atom_site_label
_atom_site_type_symbol
_atom_site_fract_x
_atom_site_fract_y
_atom_site_fract_z
_atom_site_occupancy
Dy1 Dy 0.0000 0.0000 0.0000 1
Ti1 Ti 0.0000 0.0000 0.5000 1
Zn1 Zn 0.2500 0.2500 0.7500 1
Co1 Co 0.2500 0.2500 0.2500 1
# Crystal system: cubic
# E: -5.3099 eV/atom

---

[17]
# GGA-PBE RbCaO2, optimized geometry
data_RbCaO2
_chemical_formula_sum 'Rb4 Ca4 O8'
_cell_length_a 5.7981
_cell_length_b 5.7981
_cell_length_c 11.5727
_cell_angle_alpha 90.00
_cell_angle_beta 90.00
_cell_angle_gamma 90.00
_space_group_name_H-M_alt 'I -4 2 d'
_space_group_IT_number 122
_space_group_name_Hall 'I -4 2bw'
loop_
_atom_site_label
_atom_site_type_symbol
_atom_site_fract_x
_atom_site_fract_y
_atom_site_fract_z
_atom_site_occupancy
Rb1 Rb 0.0000 0.0000 0.0000 1
Ca1 Ca 0.0000 0.0000 0.5000 1
O1 O 0.1610 0.2500 0.6250 1
# Formation energy without anion corrections: -1631 meV per atom
# Crystal system: tetragonal

---

[18]
# GGA-PBE AcBiHPt, optimized geometry
data_AcBiHPt
_chemical_formula_sum 'Ac4 Bi4 H4 Pt4'
_cell_length_a 7.0900
_cell_length_b 7.0900
_cell_length_c 7.0900
_cell_angle_alpha 90.00
_cell_angle_beta 90.00
_cell_angle_gamma 90.00
_space_group_name_H-M_alt 'F -4 3 m'
_space_group_IT_number 216
_space_group_name_Hall 'F -4 2 3'
loop_
_atom_site_label
_atom_site_type_symbol
_atom_site_fract_x
_atom_site_fract_y
_atom_site_fract_z
_atom_site_occupancy
Ac1 Ac 0.0000 0.0000 0.0000 1
Bi1 Bi 0.0000 0.0000 0.5000 1
H1 H 0.2500 0.2500 0.7500 1
Pt1 Pt 0.2500 0.2500 0.2500 1
# Energy relative to the lowest polymorph listed for this composition: 291 meV per atom
# Crystal system: cubic

---

[19]
# GGA-PBE RhC3, optimized geometry
data_RhC3
_chemical_formula_sum 'Rh2 C6'
_cell_length_a 2.5422
_cell_length_b 4.2542
_cell_length_c 6.1338
_cell_angle_alpha 90.00
_cell_angle_beta 90.00
_cell_angle_gamma 90.00
_space_group_name_H-M_alt 'I m m m'
_space_group_IT_number 71
_space_group_name_Hall '-I 2 2'
loop_
_atom_site_label
_atom_site_type_symbol
_atom_site_fract_x
_atom_site_fract_y
_atom_site_fract_z
_atom_site_occupancy
Rh1 Rh 0.0000 0.0000 0.0000 1
C1 C 0.0000 0.0000 0.5000 1
C2 C 0.0000 0.5000 0.1684 1
# Energy relative to the lowest polymorph listed for this composition: 1453 meV per atom
# Crystal system: orthorhombic

---

[20]
# GGA-PBE Dy2SiBRh6, optimized geometry
data_Dy2SiBRh6
_chemical_formula_sum 'Dy8 Si4 B4 Rh24'
_cell_length_a 8.6625
_cell_length_b 8.6625
_cell_length_c 8.6625
_cell_angle_alpha 90.00
_cell_angle_beta 90.00
_cell_angle_gamma 90.00
_space_group_name_H-M_alt 'F m -3 m'
_space_group_IT_number 225
_space_group_name_Hall '-F 4 2 3'
loop_
_atom_site_label
_atom_site_type_symbol
_atom_site_fract_x
_atom_site_fract_y
_atom_site_fract_z
_atom_site_occupancy
Dy1 Dy 0.2500 0.2500 0.2500 1
Si1 Si 0.0000 0.0000 0.0000 1
B1 B 0.0000 0.0000 0.5000 1
Rh1 Rh 0.0000 0.0000 0.2614 1
# Formation energy without anion corrections: -764 meV per atom
# Crystal system: cubic

---

Number 1: size of the total moment 0.0 μB/f.u.. Number 2: size of the total moment 0.0 μB/f.u.. Number 3: size of the total moment 0.0 μB/f.u.. Number 4: size of the total moment 0.0 μB/f.u.. Number 5: size of the total moment 0.0 μB/f.u.. Number 6: size of the total moment 0.0 μB/f.u.. Number 7: size of the total moment 1.0 μB/f.u.. Number 8: size of the total moment 0.0 μB/f.u.. Number 9: size of the total moment 0.0 μB/f.u.. Number 10: size of the total moment 1.3 μB/f.u.. Number 11: size of the total moment 0.0 μB/f.u.. Number 12: size of the total moment 0.2 μB/f.u.. Number 13: size of the total moment 0.0 μB/f.u.. Number 14: size of the total moment 0.0 μB/f.u.. Number 15: size of the total moment 0.0 μB/f.u.. Number 16: size of the total moment 0.0 μB/f.u.. Number 17: size of the total moment 1.0 μB/f.u.. Number 18: size of the total moment 0.0 μB/f.u.. Number 19: size of the total moment 0.0 μB/f.u.. Number 20: size of the total moment 0.0 μB/f.u..